Density functional theory data (PBE-GGA) for a relaxed TiSnTe2I crystal.

Cell lengths 5.722, 5.722, 5.747 Å; angles 90.00, 90.00, 90.00 degrees
Element x y z (fractional)
1 Ti 0.000 0.000 0.000
2 Sn 0.500 0.500 0.500
3 Te 0.000 0.500 0.500
4 Te 0.500 0.000 0.500
5 I 0.500 0.500 0.000

## Properties
As for the offset from the most stable computed form: 3.98 eV/f.u. The total magnetic moment comes out at 0.05 μB/f.u. Its density of states at the Fermi level is 11.52 states/eV/f.u. As for the energy: -16.16 eV per cell. Its formation energy (no corrections) is 0.7135 eV/atom.